{"formula": "Pu2UFe", "functional": "PBE-GGA", "state": "relaxed", "sg": "P4/mmm (123)", "crystal_system": "tetragonal", "delta_e_f_mev_per_atom": 148, "polymorph_energy_ev_per_fu": 0.000, "m_tot_mub_per_atom": 2.0584, "cell": [[-0.931, -2.993, -1.211], [2.263, 0.295, -2.468], [4.660, -3.033, 3.910]], "species": ["Pu", "Fe", "Pu", "U"], "frac_coords": [[0.000, 0.000, 0.227], [0.500, 0.500, 0.000], [0.000, 0.000, 0.773], [0.500, 0.500, 0.500]]}